1.
A plane-wave DFT calculation with PBE-GGA was carried out for an optimized crystal structure of Tb7DyAl4.

- final energy (eV/atom) = -4.39
- D(E_F) (states/eV per cell) = 27.22
- calculated volume (Å³ per atom) = 27.44

abc: 13.907 5.502 10.441
angles: 90.00 124.48 90.00
Space group C2/m (No. 12)
Unique sites:
Tb 0.000 0.000 0.000 [2 per cell]
Tb 0.065 0.500 0.389 [4 per cell]
Tb 0.205 0.000 0.648 [4 per cell]
Tb 0.210 0.500 0.878 [4 per cell]
Dy 0.000 0.500 0.000 [2 per cell]
Al 0.054 0.000 0.762 [4 per cell]
Al 0.176 0.000 0.332 [4 per cell]

---

2.
A plane-wave DFT calculation with PBE-GGA was carried out for an optimized crystal structure of Bi2TeHPd.

- final energy (eV/atom) = -3.90
- D(E_F) (states/eV per cell) = 2.32
- calculated volume (Å³ per atom) = 22.72

abc: 5.568 5.568 3.664
angles: 90.00 90.00 90.00
Space group P4/mmm (No. 123)
Unique sites:
Bi 0.000 0.500 0.000 [2 per cell]
Te 0.000 0.000 0.500 [1 per cell]
H 0.500 0.500 0.500 [1 per cell]
Pd 0.500 0.500 0.000 [1 per cell]

---

3.
A plane-wave DFT calculation with PBE-GGA was carried out for an optimized crystal structure of Ta2AsAu.

- D(E_F) (states/eV per cell) = 4.28
- calculated volume (Å³ per atom) = 17.95
- E above lowest polymorph (meV per atom) = 176

abc: 9.651 2.951 5.288
angles: 90.00 107.53 90.00
Space group C2/m (No. 12)
Unique sites:
Ta 0.237 0.000 0.256 [4 per cell]
As 0.000 0.500 0.000 [2 per cell]
Au 0.000 0.000 0.500 [2 per cell]

---

4.
A plane-wave DFT calculation with PBE-GGA was carried out for an optimized crystal structure of HfZrAlGa.

- final energy (eV/atom) = -6.74
- D(E_F) (states/eV per cell) = 3.59
- calculated volume (Å³ per atom) = 18.87

abc: 5.094 3.046 5.100
angles: 90.00 107.51 90.00
Space group Pm (No. 6)
Unique sites:
Hf 0.000 0.000 0.000 [1 per cell]
Zr 0.498 0.000 0.502 [1 per cell]
Al 0.998 0.500 0.499 [1 per cell]
Ga 0.501 0.500 0.002 [1 per cell]

---

5.
A plane-wave DFT calculation with PBE-GGA was carried out for an optimized crystal structure of PrAgRh.

- D(E_F) (states/eV per cell) = 4.13
- calculated volume (Å³ per atom) = 21.53
- E above lowest polymorph (meV per atom) = 164

abc: 3.666 3.666 9.615
angles: 90.00 90.00 90.00
Space group I4mm (No. 107)
Unique sites:
Pr 0.000 0.000 0.000 [2 per cell]
Ag 0.000 0.000 0.690 [2 per cell]
Rh 0.000 0.000 0.342 [2 per cell]